VASP calculation (PBE with a Hubbard U) on an optimized crystal structure of CrPC2O.

Results
**ρ**: 4.0 g/cm³
**Total energy**: -24.62 eV/cell

Geometry as CIF:
```
data_CrPC2O
_cell_length_a 3.791
_cell_length_b 3.791
_cell_length_c 3.565
_cell_angle_alpha 90.00
_cell_angle_beta 90.00
_cell_angle_gamma 90.00
_space_group_name_H-M_alt 'P 4/m m m'
_space_group_IT_number 123
_space_group_name_Hall '-P 4 2'
loop_
_atom_site_label
_atom_site_type_symbol
_atom_site_fract_x
_atom_site_fract_y
_atom_site_fract_z
_atom_site_occupancy
Cr1 Cr 0.000 0.000 0.000 1
P1 P 0.500 0.500 0.000 1
C1 C 0.000 0.500 0.500 1
O1 O 0.500 0.500 0.500 1
```